i:
Computed, not measured: a geometry-optimized KTi2Bi2 structure at the PBE level of DFT.

Calculated values
DOS(E_F) in states/eV per cell: 5.12
Total moment in μB per formula unit: 1.1
Volume in Å³/f.u.: 131.8
Density in kg/m3: 6967
Crystal system: tetragonal

Cell and atoms, written as POSCAR:
```
KTi2Bi2
1.0
8.955 0.000 0.000
0.000 8.955 0.000
0.000 0.000 3.286
K Ti Bi
2 4 4
Cartesian
0.000 0.000 0.000
4.478 4.478 0.000
0.961 3.517 1.643
3.517 7.995 1.643
5.438 0.961 1.643
7.995 5.438 1.643
1.514 5.991 0.000
2.964 1.514 0.000
5.991 7.442 0.000
7.442 2.964 0.000
```

---

ii:
Computed, not measured: a geometry-optimized KTi2Bi2 structure at the PBE level of DFT.

Calculated values
DOS(E_F) in states/eV per cell: 12.62
Total moment in μB per formula unit: 0.0
Volume in Å³/f.u.: 130.0
Density in kg/m3: 7061
Crystal system: tetragonal

Cell and atoms, written as POSCAR:
```
KTi2Bi2
1.0
8.566 0.000 0.000
0.000 8.566 0.000
0.000 0.000 3.543
K Ti Bi
2 4 4
Cartesian
0.000 0.000 0.000
4.283 4.283 0.000
0.910 3.373 0.000
3.373 7.657 0.000
5.193 0.910 0.000
7.657 5.193 0.000
1.450 5.734 1.772
2.833 1.450 1.772
5.734 7.116 1.772
7.116 2.833 1.772
```

---

iii:
Computed, not measured: a geometry-optimized KTi2Bi2 structure at the PBE level of DFT.

Calculated values
DOS(E_F) in states/eV per cell: 6.26
Total moment in μB per formula unit: 0.0
Volume in Å³/f.u.: 151.1
Density in kg/m3: 6074
Crystal system: tetragonal

Cell and atoms, written as POSCAR:
```
KTi2Bi2
1.0
-2.255 2.255 7.428
2.255 -2.255 7.428
2.255 2.255 -7.428
K Ti Bi
1 2 2
Cartesian
0.000 0.000 0.000
2.255 0.000 3.714
0.000 2.255 3.714
0.000 0.000 5.437
0.000 0.000 9.419
```

---

Ranked by calculated energy, most stable first: iii, ii, i.

---

i:
Computed, not measured: a geometry-optimized K2TiBiW structure at the PBE level of DFT.

Calculated values
DOS(E_F) in states/eV per cell: 13.61
Total moment in μB per formula unit: 3.0
Volume in Å³/f.u.: 234.3
Density in kg/m3: 3678
Crystal system: tetragonal

Cell and atoms, written as POSCAR:
```
K2TiBiW
1.0
6.639 0.000 0.000
0.000 6.639 0.000
0.000 0.000 5.314
K Ti Bi W
2 1 1 1
Cartesian
0.000 3.320 0.000
3.320 0.000 0.000
0.000 0.000 2.657
3.320 3.320 2.657
3.320 3.320 0.000
```

---

ii:
Computed, not measured: a geometry-optimized K2TiBiW structure at the PBE level of DFT.

Calculated values
DOS(E_F) in states/eV per cell: 13.95
Total moment in μB per formula unit: 7.4
Volume in Å³/f.u.: 231.0
Density in kg/m3: 3730
Crystal system: tetragonal

Cell and atoms, written as POSCAR:
```
K2TiBiW
1.0
6.599 0.000 0.000
0.000 6.599 0.000
0.000 0.000 5.305
K Ti Bi W
2 1 1 1
Cartesian
0.000 3.299 0.000
3.299 0.000 0.000
0.000 0.000 0.000
0.000 0.000 2.653
3.299 3.299 2.653
```

---

Ranked by calculated energy, most stable first: ii, i.

---

i:
Computed, not measured: a geometry-optimized KTlBi2 structure at the PBE level of DFT.

Calculated values
DOS(E_F) in states/eV per cell: 0.00
Total moment in μB per formula unit: 0.0
Volume in Å³/f.u.: 146.6
Density in kg/m3: 7495
Crystal system: tetragonal

Cell and atoms, written as POSCAR:
```
KTlBi2
1.0
-4.628 4.628 3.422
4.628 -4.628 3.422
4.628 4.628 -3.422
K Tl Bi
2 2 4
Cartesian
0.000 0.000 0.000
0.000 4.628 1.711
4.628 0.000 1.711
0.000 0.000 3.422
2.314 -1.858 2.566
2.769 2.314 0.855
2.314 6.486 -0.855
1.858 2.314 4.277
```

---

ii:
Computed, not measured: a geometry-optimized KTlBi2 structure at the PBE level of DFT.

Calculated values
DOS(E_F) in states/eV per cell: 3.51
Total moment in μB per formula unit: 0.0
Volume in Å³/f.u.: 134.8
Density in kg/m3: 8151
Crystal system: cubic

Cell and atoms, written as POSCAR:
```
KTlBi2
1.0
0.000 4.069 4.069
4.069 0.000 4.069
4.069 4.069 0.000
K Tl Bi
1 1 2
Cartesian
0.000 0.000 0.000
4.069 4.069 4.069
2.035 2.035 2.035
6.104 6.104 6.104
```

---

iii:
Computed, not measured: a geometry-optimized KTlBi2 structure at the PBE level of DFT.

Calculated values
DOS(E_F) in states/eV per cell: 2.18
Total moment in μB per formula unit: 0.0
Volume in Å³/f.u.: 133.2
Density in kg/m3: 8246
Crystal system: tetragonal

Cell and atoms, written as POSCAR:
```
KTlBi2
1.0
4.921 0.000 0.000
0.000 4.921 0.000
0.000 0.000 5.500
K Tl Bi
1 1 2
Cartesian
0.000 0.000 0.000
2.461 2.461 0.000
0.000 2.461 2.750
2.461 0.000 2.750
```

---

Ranked by calculated energy, most stable first: iii, i, ii.